This record from the Alexandria database describes AsIrPb2 after structural relaxation. The functional is PBE.

a b c (Å): 4.285 4.285 19.939
angles (deg): 90.00 90.00 120.00
Atoms (fractional coordinates):
As: 0.000 0.000 0.000
As: 0.333 0.667 0.667
As: 0.667 0.333 0.333
Ir: 0.000 0.000 0.333
Ir: 0.333 0.667 0.000
Ir: 0.667 0.333 0.667
Pb: 0.000 0.000 0.573
Pb: 0.000 0.000 0.760
Pb: 0.333 0.667 0.240
Pb: 0.333 0.667 0.427
Pb: 0.667 0.333 0.093
Pb: 0.667 0.333 0.906

## Properties
The calculation puts the calculated density at 10.703 g cm⁻³. The formation energy comes out at -0.050 eV per atom.



This record from the Alexandria database describes AsIrPb2 after structural relaxation. The functional is PBE.

a b c (Å): 4.615 4.615 8.380
angles (deg): 90.00 90.00 90.00
Atoms (fractional coordinates):
As: 0.000 0.000 0.000
As: 0.500 0.500 0.500
Ir: 0.000 0.000 0.500
Ir: 0.500 0.500 0.000
Pb: 0.000 0.500 0.250
Pb: 0.000 0.500 0.750
Pb: 0.500 0.000 0.250
Pb: 0.500 0.000 0.750

## Properties
The calculation puts the calculated density at 12.680 g cm⁻³. The formation energy comes out at 0.481 eV per atom.